## KRbAl2Ni (meta-GGA SCAN)

Data for a PBEsol-optimized structure of KRbAl2Ni.

CIF file:
```
data_KRbAl2Ni
_chemical_formula_sum 'K1 Rb1 Al2 Ni1'
_cell_length_a 4.670
_cell_length_b 4.670
_cell_length_c 5.951
_cell_angle_alpha 90.00
_cell_angle_beta 90.00
_cell_angle_gamma 90.00
_space_group_name_H-M_alt 'P 4/m m m'
_space_group_IT_number 123
_space_group_name_Hall '-P 4 2'
loop_
_atom_site_label
_atom_site_fract_x
_atom_site_fract_y
_atom_site_fract_z
K1 0.000 0.000 0.000
Rb1 0.500 0.500 0.000
Al1 0.000 0.500 0.500
Ni1 0.000 0.000 0.500
```

Values from the calculation:
The formation energy comes out at 0.1283 eV/atom. The total DFT energy (no corrections) is -0.884 Ry/atom.

=====

## K2Mg5Cu3As6O24 (meta-GGA SCAN)

Data for a PBEsol-optimized structure of K2Mg5Cu3As6O24.

CIF file:
```
data_K2Mg5Cu3As6O24
_chemical_formula_sum 'K2 Mg5 Cu3 As6 O24'
_cell_length_a 6.769
_cell_length_b 8.789
_cell_length_c 8.841
_cell_angle_alpha 92.56
_cell_angle_beta 105.16
_cell_angle_gamma 105.67
_space_group_name_H-M_alt 'P 1'
_space_group_IT_number 1
loop_
_space_group_symop_operation_xyz
'x,y,z'
loop_
_atom_site_label
_atom_site_fract_x
_atom_site_fract_y
_atom_site_fract_z
K1 0.000 0.000 0.000
K2 0.496 0.966 0.029
Mg1 0.121 0.601 0.956
Mg2 0.496 0.235 0.758
Mg3 0.619 0.918 0.641
Mg4 0.875 0.040 0.392
Mg5 0.998 0.723 0.273
Cu1 0.390 0.361 0.084
Cu2 0.497 0.484 0.517
Cu3 0.997 0.477 0.518
As1 0.119 0.856 0.663
As2 0.376 0.104 0.368
As3 0.496 0.695 0.301
As4 0.624 0.623 0.897
As5 0.875 0.333 0.139
As6 0.999 0.262 0.730
O1 0.017 0.464 0.741
O2 0.061 0.702 0.514
O3 0.069 0.383 0.043
O4 0.123 0.794 0.841
O5 0.129 0.972 0.346
O6 0.223 0.220 0.836
O7 0.270 0.731 0.189
O8 0.366 0.987 0.682
O9 0.372 0.166 0.188
O10 0.428 0.568 0.993
O11 0.434 0.258 0.516
O12 0.480 0.492 0.297
O13 0.507 0.704 0.501
O14 0.567 0.007 0.419
O15 0.567 0.478 0.742
O16 0.622 0.802 0.834
O17 0.629 0.313 0.006
O18 0.725 0.805 0.264
O19 0.769 0.153 0.767
O20 0.866 0.153 0.200
O21 0.870 0.647 0.027
O22 0.924 0.950 0.609
O23 0.931 0.480 0.293
O24 0.982 0.255 0.529
```

Values from the calculation:
The calculation puts the formation energy from raw total energies at -1.877 eV per atom. The total DFT energy (no corrections) is -0.795 Ry/atom.

=====

## Tc3Ru (meta-GGA SCAN)

Data for a PBEsol-optimized structure of Tc3Ru.

CIF file:
```
data_Tc3Ru
_chemical_formula_sum 'Tc12 Ru4'
_cell_length_a 4.687
_cell_length_b 8.648
_cell_length_c 5.440
_cell_angle_alpha 90.00
_cell_angle_beta 90.00
_cell_angle_gamma 90.00
_space_group_name_H-M_alt 'P n m a'
_space_group_IT_number 62
loop_
_space_group_symop_operation_xyz
'x,y,z'
'-x,-y,-z'
'-x+1/2,-y,z+1/2'
'x+1/2,y,-z+1/2'
'x+1/2,-y+1/2,-z+1/2'
'-x+1/2,y+1/2,z+1/2'
'-x,y+1/2,-z'
'x,-y+1/2,z'
loop_
_atom_site_label
_atom_site_fract_x
_atom_site_fract_y
_atom_site_fract_z
Tc1 0.087 0.250 0.123
Tc2 0.247 0.504 0.375
Ru1 0.086 0.250 0.624
```

Values from the calculation:
The calculation puts the distance to the lowest polymorph of the same formula at 45 meV/atom. The formation energy comes out at -0.0114 eV/atom. The total DFT energy (no corrections) is -2.573 Ry/atom.

=====

## Al5Sb (meta-GGA SCAN)

Data for a PBEsol-optimized structure of Al5Sb.

CIF file:
```
data_Al5Sb
_chemical_formula_sum 'Al5 Sb1'
_cell_length_a 2.949
_cell_length_b 2.949
_cell_length_c 12.687
_cell_angle_alpha 90.00
_cell_angle_beta 90.00
_cell_angle_gamma 90.00
_space_group_name_H-M_alt 'P 4/m m m'
_space_group_IT_number 123
_space_group_name_Hall '-P 4 2'
loop_
_atom_site_label
_atom_site_fract_x
_atom_site_fract_y
_atom_site_fract_z
Al1 0.000 0.000 0.000
Al2 0.000 0.000 0.304
Al3 0.500 0.500 0.152
Sb1 0.500 0.500 0.500
```

Values from the calculation:
The calculation puts the distance to the lowest polymorph of the same formula at 0 meV/atom. The calculation puts the formation energy from raw total energies at 0.137 eV per atom. The total DFT energy (no corrections) is -0.921 Ry/atom.